No. 1
## MgIn2Mo (PBE)

Data for crystalline MgIn2Mo at its relaxed geometry.

Cell and atoms, written as POSCAR:
```
MgIn2Mo
1.0
-2.405 2.172 -4.248
-4.932 -1.882 -0.824
2.573 1.981 4.243
In Mo Mg
2 1 1
Cartesian
-3.668 0.145 -2.535
-0.001 0.000 -0.001
-3.014 0.122 0.442
-1.750 2.149 -1.270
```

Summary:
D(E_F) = 1.3 states/eV per cell
E = -17.261 eV per formula unit
SG = I4/mmm (139)

No. 2
## MgInMo2 (PBE)

Data for crystalline MgInMo2 at its relaxed geometry.

Cell and atoms, written as POSCAR:
```
MgInMo2
1.0
9.781 -0.015 -0.009
9.342 2.895 -0.009
9.342 1.407 2.530
Mg Mo In
1 2 1
Cartesian
21.349 3.215 1.884
28.461 4.286 2.512
14.238 2.144 1.257
7.116 1.072 0.628
```

Summary:
D(E_F) = 5.4 states/eV per cell
Distance to the lowest polymorph of the same formula = 373.4 meV per atom
E = -23.977 eV per formula unit
SG = R-3m (166)

Formation energy from the elements in eV per atom, matching the order above: 0.16 0.50